1.
A geometry-optimized La6PrSe8 structure. Source: Alexandria, functional GGA-PBE.

a b c (Å): 8.604 8.604 8.604
angles (deg): 60.00 60.00 60.00
Fractional positions:
La: 0.000 0.500 0.500
La: 0.500 0.000 0.000
La: 0.500 0.500 0.000
La: 0.000 0.000 0.500
La: 0.000 0.500 0.000
La: 0.500 0.000 0.500
Pr: 0.000 0.000 0.000
Se: 0.750 0.750 0.750
Se: 0.250 0.250 0.250
Se: 0.751 0.249 0.249
Se: 0.249 0.751 0.751
Se: 0.249 0.249 0.751
Se: 0.751 0.751 0.249
Se: 0.751 0.249 0.751
Se: 0.249 0.751 0.249

Computed properties:
SG: No. 225
Formation energy without anion corrections: -1.99 eV per atom
Total moment: 0.00 μB per formula unit

***

2.
A geometry-optimized LaPrSmSe3 structure. Source: Alexandria, functional GGA-PBE.

a b c (Å): 4.119 7.389 11.075
angles (deg): 102.71 90.00 90.00
Fractional positions:
La: 0.250 0.345 0.302
La: 0.750 0.655 0.698
Pr: 0.250 0.122 0.630
Pr: 0.750 0.878 0.370
Sm: 0.250 0.768 0.058
Sm: 0.750 0.232 0.942
Se: 0.750 0.056 0.155
Se: 0.250 0.944 0.845
Se: 0.250 0.712 0.505
Se: 0.750 0.288 0.495
Se: 0.750 0.545 0.160
Se: 0.250 0.455 0.840

Computed properties:
SG: No. 11
Formation energy without anion corrections: -1.82 eV per atom
Total moment: 0.00 μB per formula unit

***

Please write out number 1 again, unchanged.
A geometry-optimized La6PrSe8 structure. Source: Alexandria, functional GGA-PBE.

a b c (Å): 8.604 8.604 8.604
angles (deg): 60.00 60.00 60.00
Fractional positions:
La: 0.000 0.500 0.500
La: 0.500 0.000 0.000
La: 0.500 0.500 0.000
La: 0.000 0.000 0.500
La: 0.000 0.500 0.000
La: 0.500 0.000 0.500
Pr: 0.000 0.000 0.000
Se: 0.750 0.750 0.750
Se: 0.250 0.250 0.250
Se: 0.751 0.249 0.249
Se: 0.249 0.751 0.751
Se: 0.249 0.249 0.751
Se: 0.751 0.751 0.249
Se: 0.751 0.249 0.751
Se: 0.249 0.751 0.249

Computed properties:
SG: No. 225
Formation energy without anion corrections: -1.99 eV per atom
Total moment: 0.00 μB per formula unit